Entry 1:
The following is a PBE-GGA calculation of a relaxed PaCdBO5 crystal, from Alexandria via LeMat-Bulk.

abc: 5.523 5.523 7.977
angles: 105.09 105.09 102.16
Fractional coordinates of all 16 atoms:
Pa1 0.000 0.000 0.000
Pa2 0.000 0.000 0.500
Cd1 0.353 0.647 0.750
Cd2 0.647 0.353 0.250
B1 0.319 0.681 0.250
B2 0.681 0.319 0.750
O1 0.105 0.895 0.750
O2 0.127 0.692 0.352
O3 0.261 0.410 0.117
O4 0.308 0.873 0.148
O5 0.410 0.261 0.617
O6 0.590 0.739 0.383
O7 0.692 0.127 0.852
O8 0.739 0.590 0.883
O9 0.873 0.308 0.648
O10 0.895 0.105 0.250

Symmetry: C2/c (15)
Energy relative to the elements, uncorrected: -57.7 kcal/mol of atoms
Electronic total energy: -7.738 eV/atom
Fermi-level density of states: 0.0 states/eV/f.u.

=====

Entry 2:
The following is a PBE-GGA calculation of a relaxed PaCdBO6 crystal, from Alexandria via LeMat-Bulk.

abc: 5.136 5.136 4.597
angles: 90.00 90.00 120.00
Fractional coordinates of all 9 atoms:
Pa1 0.000 0.000 0.000
Cd1 0.333 0.667 0.500
B1 0.667 0.333 0.500
O1 0.381 0.080 0.718
O2 0.381 0.301 0.282
O3 0.699 0.080 0.282
O4 0.699 0.619 0.718
O5 0.920 0.301 0.718
O6 0.920 0.619 0.282

Symmetry: P312 (149)
Energy relative to the elements, uncorrected: -37.7 kcal/mol of atoms
Electronic total energy: -6.841 eV/atom
Fermi-level density of states: 4.2 states/eV/f.u.